i) ZnSb2Cl | PBE | optimized geometry

Values from the calculation:
crystal system	tetragonal
calculated density	6.1	g/cm³
symmetry	P4/mmm (123)
N(E_F)	0.7	states/eV/f.u.

abc: 3.4645 3.4645 7.8429
angles: 90.00 90.00 90.00
Sites, in units of the cell vectors:
1 Zn 0.0000 0.0000 0.0000
2 Sb 0.5000 0.5000 0.2094
3 Sb 0.5000 0.5000 0.7906
4 Cl 0.0000 0.0000 0.5000

ii) ZnSb2Cl | PBE | optimized geometry

Values from the calculation:
crystal system	tetragonal
calculated density	5.4	g/cm³
symmetry	I-42d (122)
N(E_F)	1.4	states/eV/f.u.

abc: 11.3602 11.3602 11.3602
angles: 157.58 157.58 31.92
Sites, in units of the cell vectors:
1 Zn 0.0000 0.0000 0.0000
2 Zn 0.7500 0.2500 0.5000
3 Sb 0.0843 0.6250 0.9593
4 Sb 0.3750 0.3343 0.4593
5 Sb 0.6657 0.1250 0.0407
6 Sb 0.8750 0.9157 0.5407
7 Cl 0.2500 0.7500 0.5000
8 Cl 0.5000 0.5000 0.0000

Ordering by calculated energy gives the sequence i), ii), with the first entry being the most stable.